DFT (PBE) results for BaTi4AlO7 after structural relaxation.

## Properties
SG: No. 186

```
BaTi4AlO7
1.0
6.0668 0.0000 0.0000
-3.0334 5.2540 0.0000
0.0000 0.0000 10.2455
Ba Ti Al O
2 8 2 14
Direct
0.3333 0.6667 0.0000
0.6667 0.3333 0.5000
0.0000 0.0000 0.4782
0.0000 0.0000 0.9782
0.1648 0.3296 0.6794
0.1648 0.8352 0.6794
0.3296 0.1648 0.1794
0.6704 0.8352 0.6794
0.8352 0.1648 0.1794
0.8352 0.6704 0.1794
0.3333 0.6667 0.3686
0.6667 0.3333 0.8686
0.0000 0.0000 0.2837
0.0000 0.0000 0.7837
0.0343 0.5172 0.2556
0.1864 0.3729 0.4869
0.1864 0.8136 0.4869
0.3729 0.1864 0.9869
0.4828 0.5172 0.2556
0.4828 0.9657 0.2556
0.5172 0.0343 0.7556
0.5172 0.4828 0.7556
0.6271 0.8136 0.4869
0.8136 0.1864 0.9869
0.8136 0.6271 0.9869
0.9657 0.4828 0.7556
```

***

DFT (PBE) results for CaIn2Cl after structural relaxation.

## Properties
E above lowest polymorph (kJ/mol of formula units): 188
SG: No. 65

```
CaIn2Cl
1.0
3.8878 0.0000 0.0000
0.0000 6.0442 0.0000
0.0000 0.0000 9.7631
Ca In Cl
2 4 2
Direct
0.0000 0.0000 0.0000
0.5000 0.5000 0.0000
0.0000 0.5000 0.2701
0.0000 0.5000 0.7299
0.5000 0.0000 0.2701
0.5000 0.0000 0.7299
0.0000 0.0000 0.5000
0.5000 0.5000 0.5000
```

***

DFT (PBE) results for LiPmSbRu after structural relaxation.

## Properties
SG: No. 216

```
LiPmSbRu
1.0
6.7464 0.0000 0.0000
0.0000 6.7464 0.0000
0.0000 0.0000 6.7464
Li Pm Sb Ru
4 4 4 4
Direct
0.0000 0.0000 0.0000
0.0000 0.5000 0.5000
0.5000 0.0000 0.5000
0.5000 0.5000 0.0000
0.2500 0.2500 0.7500
0.2500 0.7500 0.2500
0.7500 0.2500 0.2500
0.7500 0.7500 0.7500
0.2500 0.2500 0.2500
0.2500 0.7500 0.7500
0.7500 0.2500 0.7500
0.7500 0.7500 0.2500
0.0000 0.0000 0.5000
0.0000 0.5000 0.0000
0.5000 0.0000 0.0000
0.5000 0.5000 0.5000
```

***

DFT (PBE) results for TbMgCuSi after structural relaxation.

## Properties
SG: No. 216

```
TbMgCuSi
1.0
6.7134 0.0000 0.0000
0.0000 6.7134 0.0000
0.0000 0.0000 6.7134
Tb Mg Cu Si
4 4 4 4
Direct
0.0000 0.0000 0.0000
0.0000 0.5000 0.5000
0.5000 0.0000 0.5000
0.5000 0.5000 0.0000
0.0000 0.0000 0.5000
0.0000 0.5000 0.0000
0.5000 0.0000 0.0000
0.5000 0.5000 0.5000
0.2500 0.2500 0.2500
0.2500 0.7500 0.7500
0.7500 0.2500 0.7500
0.7500 0.7500 0.2500
0.2500 0.2500 0.7500
0.2500 0.7500 0.2500
0.7500 0.2500 0.2500
0.7500 0.7500 0.7500
```

***

DFT (PBE) results for CuSO2 after structural relaxation.

## Properties
SG: No. 166

```
CuSO2
1.0
3.2217 0.0000 0.0000
-1.6109 2.7901 0.0000
0.0000 0.0000 16.7440
Cu S O
3 3 6
Direct
0.0000 0.0000 0.0000
0.3333 0.6667 0.6667
0.6667 0.3333 0.3333
0.0000 0.0000 0.5000
0.3333 0.6667 0.1667
0.6667 0.3333 0.8333
0.0000 0.0000 0.1094
0.0000 0.0000 0.8906
0.3333 0.6667 0.5572
0.3333 0.6667 0.7761
0.6667 0.3333 0.2239
0.6667 0.3333 0.4428
```

***

DFT (PBE) results for Li2MgRe after structural relaxation.

## Properties
E above lowest polymorph (kJ/mol of formula units): 12
SG: No. 99
Formation energy (meV/atom): 229

```
Li2MgRe
1.0
2.6615 0.0000 0.0000
0.0000 2.6615 0.0000
0.0000 0.0000 9.4043
Li Mg Re
2 1 1
Direct
0.0000 0.0000 0.0000
0.5000 0.5000 0.2712
0.0000 0.0000 0.5362
0.5000 0.5000 0.7721
```

***

In the order shown, the computed final energy values come out to -8.099 -2.675 -5.486 -4.238 -4.374 -4.239 eV/atom.
In the order shown, the computed total magnetization values come out to 1.0 0.0 0.0 0.0 0.0 0.0 μB per formula unit.